(1)
## Si23Pd (PBE)

Data for a relaxed Si23Pd crystal.

Calculated values
formation energy from raw total energies: 2.42 eV/f.u.

Cell lengths 10.204, 10.204, 10.204 Å; angles 90.00, 90.00, 90.00 degrees
Fractional positions:
Si1 0.000 0.117 0.308
Si2 0.000 0.117 0.692
Si3 0.000 0.250 0.500
Si4 0.000 0.750 0.500
Si5 0.000 0.883 0.308
Si6 0.000 0.883 0.692
Si7 0.117 0.308 0.000
Si8 0.117 0.692 0.000
Si9 0.183 0.183 0.183
Si10 0.183 0.183 0.817
Si11 0.183 0.817 0.183
Si12 0.183 0.817 0.817
Si13 0.192 0.383 0.500
Si14 0.192 0.617 0.500
Si15 0.250 0.500 0.000
Si16 0.308 0.000 0.117
Si17 0.308 0.000 0.883
Si18 0.317 0.317 0.317
Si19 0.317 0.317 0.683
Si20 0.317 0.683 0.317
Si21 0.317 0.683 0.683
Si22 0.383 0.500 0.192
Si23 0.383 0.500 0.808
Si24 0.500 0.000 0.250
Si25 0.500 0.000 0.750
Si26 0.500 0.192 0.383
Si27 0.500 0.192 0.617
Si28 0.500 0.808 0.383
Si29 0.500 0.808 0.617
Si30 0.617 0.500 0.192
Si31 0.617 0.500 0.808
Si32 0.683 0.317 0.317
Si33 0.683 0.317 0.683
Si34 0.683 0.683 0.317
Si35 0.683 0.683 0.683
Si36 0.692 0.000 0.117
Si37 0.692 0.000 0.883
Si38 0.750 0.500 0.000
Si39 0.808 0.383 0.500
Si40 0.808 0.617 0.500
Si41 0.817 0.183 0.183
Si42 0.817 0.183 0.817
Si43 0.817 0.817 0.183
Si44 0.817 0.817 0.817
Si45 0.883 0.308 0.000
Si46 0.883 0.692 0.000
Pd1 0.000 0.000 0.000
Pd2 0.500 0.500 0.500

=====

(2)
## DyCd2In2 (PBE)

Data for a relaxed DyCd2In2 crystal.

Calculated values
calculated formation energy: -0.023 eV per atom

Cell lengths 5.098, 5.098, 12.353 Å; angles 90.00, 90.00, 120.00 degrees
Fractional positions:
Dy1 0.000 0.000 0.250
Dy2 0.000 0.000 0.750
Cd1 0.333 0.667 0.116
Cd2 0.333 0.667 0.384
Cd3 0.667 0.333 0.616
Cd4 0.667 0.333 0.884
In1 0.000 0.000 0.000
In2 0.000 0.000 0.500
In3 0.333 0.667 0.750
In4 0.667 0.333 0.250

=====

(3)
## In4Ga2Sn3Pb2 (PBE)

Data for a relaxed In4Ga2Sn3Pb2 crystal.

Calculated values
calculated formation energy: 0.094 eV per atom

Cell lengths 4.933, 4.933, 14.814 Å; angles 90.00, 90.00, 120.00 degrees
Fractional positions:
In1 0.333 0.667 0.337
In2 0.333 0.667 0.904
In3 0.667 0.333 0.096
In4 0.667 0.333 0.663
Ga1 0.333 0.667 0.136
Ga2 0.667 0.333 0.864
Sn1 0.000 0.000 0.000
Sn2 0.000 0.000 0.244
Sn3 0.000 0.000 0.756
Pb1 0.333 0.667 0.566
Pb2 0.667 0.333 0.434

=====

(4)
## TbDyScCu (PBE)

Data for a relaxed TbDyScCu crystal.

Calculated values
calculated formation energy: 0.122 eV per atom

Cell lengths 5.158, 5.158, 5.158 Å; angles 60.00, 60.00, 60.00 degrees
Fractional positions:
Tb1 0.000 0.000 0.000
Dy1 0.500 0.500 0.500
Sc1 0.250 0.250 0.250
Cu1 0.750 0.750 0.750

=====

(5)
## Si3Sb (PBE)

Data for a relaxed Si3Sb crystal.

Calculated values
formation energy from raw total energies: 1.79 eV/f.u.
offset from the most stable computed form: 0.108 eV/atom

Cell lengths 4.700, 4.700, 4.700 Å; angles 109.95, 109.95, 109.95 degrees
Fractional positions:
Si1 0.000 0.500 0.500
Si2 0.500 0.000 0.500
Si3 0.500 0.500 0.000
Sb1 0.000 0.000 0.000

=====

(6)
## Tl2CdI4 (PBE)

Data for a relaxed Tl2CdI4 crystal.

Calculated values
formation energy from raw total energies: -2.79 eV/f.u.
offset from the most stable computed form: 0.224 eV/atom

Cell lengths 11.081, 11.081, 11.081 Å; angles 150.44, 150.44, 42.30 degrees
Fractional positions:
Tl1 0.170 0.170 0.000
Tl2 0.830 0.830 0.000
Cd1 0.000 0.000 0.000
I1 0.000 0.500 0.500
I2 0.319 0.319 0.000
I3 0.500 0.000 0.500
I4 0.681 0.681 0.000

=====

(7)
## RbGaC (PBE)

Data for a relaxed RbGaC crystal.

Calculated values
calculated formation energy: 0.551 eV per atom

Cell lengths 3.530, 3.530, 11.096 Å; angles 90.00, 90.00, 120.00 degrees
Fractional positions:
Rb1 0.000 0.000 0.000
Rb2 0.000 0.000 0.500
Ga1 0.333 0.667 0.250
Ga2 0.667 0.333 0.750
C1 0.333 0.667 0.750
C2 0.667 0.333 0.250

=====

(8)
## TiCdHg2 (PBE)

Data for a relaxed TiCdHg2 crystal.

Calculated values
calculated formation energy: 0.330 eV per atom

Cell lengths 11.143, 11.143, 11.143 Å; angles 16.00, 16.00, 16.00 degrees
Fractional positions:
Ti1 0.000 0.000 0.000
Cd1 0.500 0.500 0.500
Hg1 0.085 0.085 0.085
Hg2 0.915 0.915 0.915

=====

(9)
## KRb2CdI6 (PBE)

Data for a relaxed KRb2CdI6 crystal.

Calculated values
formation energy from raw total energies: -9.25 eV/f.u.

Cell lengths 8.916, 8.916, 8.916 Å; angles 60.00, 60.00, 60.00 degrees
Fractional positions:
K1 0.000 0.000 0.000
Rb1 0.250 0.250 0.250
Rb2 0.750 0.750 0.750
Cd1 0.500 0.500 0.500
I1 0.265 0.265 0.735
I2 0.265 0.735 0.265
I3 0.265 0.735 0.735
I4 0.735 0.265 0.265
I5 0.735 0.265 0.735
I6 0.735 0.735 0.265

=====

(10)
## Ag5Pd (PBE)

Data for a relaxed Ag5Pd crystal.

Calculated values
offset from the most stable computed form: 0.000 eV/atom
calculated formation energy: -0.018 eV per atom

Cell lengths 6.503, 6.503, 4.085 Å; angles 90.00, 90.00, 142.81 degrees
Fractional positions:
Ag1 0.000 0.000 0.000
Ag2 0.165 0.835 0.500
Ag3 0.335 0.665 0.000
Ag4 0.665 0.335 0.000
Ag5 0.835 0.165 0.500
Pd1 0.500 0.500 0.500

=====

(11)
## K2CrHg (PBE)

Data for a relaxed K2CrHg crystal.

Calculated values
calculated formation energy: 0.511 eV per atom

Cell lengths 5.628, 5.628, 4.693 Å; angles 90.00, 90.00, 91.92 degrees
Fractional positions:
K1 0.000 0.500 0.000
K2 0.500 0.000 0.000
Cr1 0.000 0.000 0.500
Hg1 0.500 0.500 0.500

=====

(12)
## MnHPd3 (PBE)

Data for a relaxed MnHPd3 crystal.

Calculated values
offset from the most stable computed form: 1.650 eV/atom

Cell lengths 4.552, 4.552, 4.552 Å; angles 90.00, 90.00, 90.00 degrees
Fractional positions:
Mn1 0.000 0.000 0.000
H1 0.500 0.500 0.500
Pd1 0.000 0.000 0.500
Pd2 0.000 0.500 0.000
Pd3 0.500 0.000 0.000